Density functional theory data (PBE-GGA) for a relaxed structure of BaY4Co.

Geometry as POSCAR:
```
BaY4Co
1.0
5.1550 0.3261 4.1113
-0.9934 0.6361 6.4955
1.3162 -5.0444 4.0502
Y Ba Co
4 1 1
direct
0.3734 0.8798 0.3734
0.8798 0.3734 0.3734
0.3734 0.3734 0.3734
0.3734 0.3734 0.8798
0.7500 0.7500 0.7500
0.0000 0.0000 0.0000
```

As for the magnetic moment: 2.57 μB/f.u. Its formation energy from the elements is 801 meV/atom.